Here is a geometry-optimized CsTeHC structure from Alexandria. Energies are from PBE-GGA.

Properties
- Energy relative to the lowest polymorph listed for this composition: 8 meV/atom

Unit cell a=3.5292 b=4.8849 c=5.9676 alpha=78.75 beta=89.41 gamma=89.37
Last column: nearest neighbours and their distance in Å.
Space group P1 (No. 1)
Inequivalent atoms, fractional coordinates:
Cs 0.0000 0.0000 0.0000 [1 per cell]  2 H 3.06-3.22, 2 C 3.19-3.27
Te 0.5035 0.5835 0.5348 [1 per cell]  2 C 2.26
H 0.0112 0.2028 0.4539 [1 per cell]  1 C 1.12
C 0.0090 0.4246 0.3614 [1 per cell]  1 H 1.12

***

Here is a geometry-optimized Cs2HfC structure from Alexandria. Energies are from PBE-GGA.

Properties
- ΔH_f (0 K): 9.90 eV/f.u.
- Energy relative to the lowest polymorph listed for this composition: 1552 meV/atom

Unit cell a=8.5611 b=8.5611 c=8.5611 alpha=90.00 beta=90.00 gamma=90.00
Last column: nearest neighbours and their distance in Å.
Space group Fm-3m (No. 225)
Inequivalent atoms, fractional coordinates:
Cs 0.2500 0.2500 0.2500 [8 per cell]  4 Hf 3.71, 4 C 3.71
Hf 0.0000 0.0000 0.0000 [4 per cell]  8 Cs 3.71
C 0.0000 0.0000 0.5000 [4 per cell]  8 Cs 3.71

***

Here is a geometry-optimized CsHfC2 structure from Alexandria. Energies are from PBE-GGA.

Properties
- ΔH_f (0 K): 4.31 eV/f.u.
- Energy relative to the lowest polymorph listed for this composition: 0 meV/atom

Unit cell a=6.8265 b=6.8265 c=9.4849 alpha=90.00 beta=90.00 gamma=90.00
Last column: nearest neighbours and their distance in Å.
Space group I-42d (No. 122)
Inequivalent atoms, fractional coordinates:
Cs 0.0000 0.0000 0.0000 [4 per cell]  8 C 3.60-3.97
Hf 0.0000 0.0000 0.5000 [4 per cell]  4 C 2.13
C 0.0699 0.2500 0.6250 [8 per cell]  2 Hf 2.13

***

Here is a geometry-optimized Cs3HfC structure from Alexandria. Energies are from PBE-GGA.

Properties
- ΔH_f (0 K): 9.67 eV/f.u.

Unit cell a=6.1690 b=6.1690 c=6.1690 alpha=90.00 beta=90.00 gamma=90.00
Last column: nearest neighbours and their distance in Å.
Space group Pm-3m (No. 221)
Inequivalent atoms, fractional coordinates:
Cs 0.0000 0.0000 0.5000 [3 per cell]  2 C 3.08
Hf 0.5000 0.5000 0.5000 [1 per cell]  12 Cs 4.36
C 0.0000 0.0000 0.0000 [1 per cell]  6 Cs 3.08

***

Here is a geometry-optimized CsHfC2 structure from Alexandria. Energies are from PBE-GGA.

Properties
- ΔH_f (0 K): 9.66 eV/f.u.
- Energy relative to the lowest polymorph listed for this composition: 1338 meV/atom

Unit cell a=6.4075 b=6.4075 c=6.4075 alpha=90.00 beta=90.00 gamma=90.00
Last column: nearest neighbours and their distance in Å.
Space group Fm-3m (No. 225)
Inequivalent atoms, fractional coordinates:
Cs 0.0000 0.0000 0.0000 [4 per cell]  8 C 2.77
Hf 0.0000 0.0000 0.5000 [4 per cell]  8 C 2.77
C 0.2500 0.2500 0.2500 [8 per cell]  4 Cs 2.77, 4 Hf 2.77

***

Here is a geometry-optimized Cs2HfC structure from Alexandria. Energies are from PBE-GGA.

Properties
- ΔH_f (0 K): 3.69 eV/f.u.
- Energy relative to the lowest polymorph listed for this composition: 0 meV/atom

Unit cell a=13.9820 b=13.9820 c=4.2488 alpha=90.00 beta=90.00 gamma=90.00
Last column: nearest neighbours and their distance in Å.
Space group I-42d (No. 122)
Inequivalent atoms, fractional coordinates:
Cs 0.0611 0.7500 0.1250 [8 per cell]  2 C 3.64, 2 Hf 3.94
Hf 0.0000 0.0000 0.5000 [4 per cell]  2 C 2.12
C 0.0000 0.0000 0.0000 [4 per cell]  2 Hf 2.12

***

Here is a geometry-optimized CsHfIr2C structure from Alexandria. Energies are from PBE-GGA.

Properties
- ΔH_f (0 K): 5.82 eV/f.u.

Unit cell a=4.0916 b=4.0916 c=5.4370 alpha=90.00 beta=90.00 gamma=90.00
Last column: nearest neighbours and their distance in Å.
Space group P4/mmm (No. 123)
Inequivalent atoms, fractional coordinates:
Cs 0.0000 0.0000 0.0000 [1 per cell]  2 C 2.72, 4 Hf 2.89
Hf 0.5000 0.5000 0.0000 [1 per cell]  4 Cs 2.89
Ir 0.0000 0.5000 0.5000 [2 per cell]  2 C 2.05
C 0.0000 0.0000 0.5000 [1 per cell]  4 Ir 2.05

***

Here is a geometry-optimized CsLiHf2C structure from Alexandria. Energies are from PBE-GGA.

Properties
- ΔH_f (0 K): 14.30 eV/f.u.

Unit cell a=5.4396 b=5.4396 c=4.5862 alpha=90.00 beta=90.00 gamma=90.00
Last column: nearest neighbours and their distance in Å.
Space group P4/mmm (No. 123)
Inequivalent atoms, fractional coordinates:
Cs 0.0000 0.0000 0.0000 [1 per cell]  2 C 2.29
Li 0.5000 0.5000 0.5000 [1 per cell]  8 Hf 3.56, 4 C 3.85
Hf 0.0000 0.5000 0.0000 [2 per cell]  2 Cs 2.72
C 0.0000 0.0000 0.5000 [1 per cell]  2 Cs 2.29

***

Here is a geometry-optimized Cs2HfRhC structure from Alexandria. Energies are from PBE-GGA.

Properties
- ΔH_f (0 K): 7.03 eV/f.u.

Unit cell a=6.6877 b=6.6877 c=4.0668 alpha=90.00 beta=90.00 gamma=90.00
Last column: nearest neighbours and their distance in Å.
Space group P4/mmm (No. 123)
Inequivalent atoms, fractional coordinates:
Cs 0.0000 0.5000 0.0000 [2 per cell]  2 C 3.34
Hf 0.0000 0.0000 0.5000 [1 per cell]  2 C 2.03
Rh 0.5000 0.5000 0.5000 [1 per cell]  8 Cs 3.91, 2 Rh 4.07
C 0.0000 0.0000 0.0000 [1 per cell]  2 Hf 2.03

***

Here is a geometry-optimized CsHf2VC structure from Alexandria. Energies are from PBE-GGA.

Properties
- ΔH_f (0 K): 7.57 eV/f.u.

Unit cell a=5.1316 b=5.1316 c=4.0881 alpha=90.00 beta=90.00 gamma=90.00
Last column: nearest neighbours and their distance in Å.
Space group P4/mmm (No. 123)
Inequivalent atoms, fractional coordinates:
Cs 0.0000 0.0000 0.0000 [1 per cell]  8 Hf 3.28, 4 C 3.63
Hf 0.0000 0.5000 0.5000 [2 per cell]  2 V 2.57
V 0.5000 0.5000 0.5000 [1 per cell]  2 C 2.04
C 0.5000 0.5000 0.0000 [1 per cell]  2 V 2.04

***

Here is a geometry-optimized CsHgC3 structure from Alexandria. Energies are from PBE-GGA.

Properties
- ΔH_f (0 K): 19.77 eV/f.u.

Unit cell a=5.8587 b=5.8587 c=5.8587 alpha=90.00 beta=90.00 gamma=90.00
Last column: nearest neighbours and their distance in Å.
Space group Pm-3m (No. 221)
Inequivalent atoms, fractional coordinates:
Cs 0.0000 0.0000 0.0000 [1 per cell]  6 C 2.93
Hg 0.5000 0.5000 0.5000 [1 per cell]  12 C 4.14
C 0.0000 0.0000 0.5000 [3 per cell]  2 Cs 2.93

***

Here is a geometry-optimized CsHg3C structure from Alexandria. Energies are from PBE-GGA.

Properties
- ΔH_f (0 K): 7.13 eV/f.u.
- Energy relative to the lowest polymorph listed for this composition: 623 meV/atom

Unit cell a=7.4309 b=7.4309 c=7.4309 alpha=90.00 beta=90.00 gamma=90.00
Last column: nearest neighbours and their distance in Å.
Space group Pm-3m (No. 221)
Inequivalent atoms, fractional coordinates:
Cs 0.0000 0.0000 0.0000 [1 per cell]  6 Hg 3.72
Hg 0.0000 0.0000 0.5000 [3 per cell]  2 Cs 3.72
C 0.5000 0.5000 0.5000 [1 per cell]  12 Hg 5.25

***

Here is a geometry-optimized Cs3HgC structure from Alexandria. Energies are from PBE-GGA.

Properties
- ΔH_f (0 K): 5.74 eV/f.u.

Unit cell a=7.2118 b=7.2118 c=7.2118 alpha=90.00 beta=90.00 gamma=90.00
Last column: nearest neighbours and their distance in Å.
Space group Pm-3m (No. 221)
Inequivalent atoms, fractional coordinates:
Cs 0.0000 0.0000 0.5000 [3 per cell]  2 Hg 3.61
Hg 0.0000 0.0000 0.0000 [1 per cell]  6 Cs 3.61
C 0.5000 0.5000 0.5000 [1 per cell]  12 Cs 5.10

***

| no. | magnetization (μB/f.u.) | V (Å³/f.u.) | ρ (Mg/m³) |
| --- | --- | --- | --- |
| 1 | 0.00 | 101 | 4.5 |
| 2 | 0.00 | 157 | 4.8 |
| 3 | 0.00 | 111 | 5.0 |
| 4 | 3.58 | 235 | 4.2 |
| 5 | 0.00 | 66 | 8.5 |
| 6 | 0.54 | 208 | 3.6 |
| 7 | 0.00 | 91 | 12.9 |
| 8 | 0.00 | 136 | 6.2 |
| 9 | 0.00 | 182 | 5.1 |
| 10 | 0.00 | 108 | 8.5 |
| 11 | 7.00 | 201 | 3.1 |
| 12 | 2.83 | 410 | 3.0 |
| 13 | 1.88 | 375 | 2.7 |